1.
Tb6Bi3Ir: optimized geometry, PBE-GGA.

Properties
Crystal system: monoclinic
E_form, eV per atom: -0.65

Unit cell a=6.5621 b=8.5097 c=12.7071 alpha=90.00 beta=120.08 gamma=90.00
Element x y z (fractional)
Tb  0.0606  0.1997  0.4402
Tb  0.0606  0.3003  0.9402
Tb  0.2947  0.6579  0.4356
Tb  0.2947  0.8421  0.9356
Tb  0.3709  0.0397  0.2293
Tb  0.3709  0.4603  0.7293
Tb  0.6291  0.5397  0.2707
Tb  0.6291  0.9603  0.7707
Tb  0.7053  0.1579  0.0644
Tb  0.7053  0.3421  0.5644
Tb  0.9394  0.6997  0.0598
Tb  0.9394  0.8003  0.5598
Bi  0.1558  0.1169  0.7386
Bi  0.1558  0.3831  0.2386
Bi  0.5000  0.0000  0.5000
Bi  0.5000  0.5000  0.0000
Bi  0.8442  0.6169  0.7614
Bi  0.8442  0.8831  0.2614
Ir  0.0000  0.0000  0.0000
Ir  0.0000  0.5000  0.5000


2.
PuThIrAu: optimized geometry, PBE-GGA.

Properties
Crystal system: cubic
E_form, eV per atom: -0.53

Unit cell a=5.0800 b=5.0800 c=5.0800 alpha=60.00 beta=60.00 gamma=60.00
Element x y z (fractional)
Pu  0.0000  0.0000  0.0000
Th  0.5000  0.5000  0.5000
Ir  0.2500  0.2500  0.2500
Au  0.7500  0.7500  0.7500


3.
AcZn2GeN: optimized geometry, PBE-GGA.

Properties
Crystal system: orthorhombic
Formation energy from raw total energies, eV per formula unit: -2.40

Unit cell a=6.4476 b=6.4476 c=7.4292 alpha=90.00 beta=90.00 gamma=143.78
Element x y z (fractional)
Ac  0.0445  0.9555  0.7500
Ac  0.9555  0.0445  0.2500
Zn  0.3385  0.6615  0.5611
Zn  0.3385  0.6615  0.9389
Zn  0.6615  0.3385  0.0611
Zn  0.6615  0.3385  0.4389
Ge  0.2314  0.7686  0.2500
Ge  0.7686  0.2314  0.7500
N  0.5000  0.5000  0.0000
N  0.5000  0.5000  0.5000


4.
AlSi2Ni: optimized geometry, PBE-GGA.

Properties
Crystal system: trigonal
Formation energy from raw total energies, eV per formula unit: 0.25

Unit cell a=2.8602 b=2.8602 c=8.0457 alpha=90.00 beta=90.00 gamma=120.00
Element x y z (fractional)
Al  0.0000  0.0000  0.0000
Si  0.3333  0.6667  0.7360
Si  0.6667  0.3333  0.2512
Ni  0.6667  0.3333  0.5369


5.
CrRe3: optimized geometry, PBE-GGA.

Properties
Crystal system: cubic
E_form, eV per atom: 0.15

Unit cell a=4.8701 b=4.8701 c=4.8701 alpha=90.00 beta=90.00 gamma=90.00
Element x y z (fractional)
Cr  0.0000  0.0000  0.0000
Cr  0.5000  0.5000  0.5000
Re  0.0000  0.2500  0.5000
Re  0.0000  0.7500  0.5000
Re  0.2500  0.5000  0.0000
Re  0.5000  0.0000  0.2500
Re  0.5000  0.0000  0.7500
Re  0.7500  0.5000  0.0000


6.
P3W: optimized geometry, PBE-GGA.

Properties
Polymorph energy (0 for the lowest one), meV per atom: 343
Crystal system: tetragonal
E_form, eV per atom: 0.19

Unit cell a=3.0715 b=3.0715 c=6.1078 alpha=90.00 beta=90.00 gamma=90.00
Element x y z (fractional)
P  0.0000  0.0000  0.0000
P  0.5000  0.5000  0.2749
P  0.5000  0.5000  0.7251
W  0.0000  0.0000  0.5000


7.
TbTm2Tc: optimized geometry, PBE-GGA.

Properties
Polymorph energy (0 for the lowest one), meV per atom: 281
Crystal system: trigonal
E_form, eV per atom: 0.15

Unit cell a=5.6591 b=5.6591 c=5.6591 alpha=50.36 beta=50.36 gamma=50.36
Element x y z (fractional)
Tb  0.0000  0.0000  0.0000
Tm  0.2270  0.2270  0.2270
Tm  0.7730  0.7730  0.7730
Tc  0.5000  0.5000  0.5000


8.
ThIn2: optimized geometry, PBE-GGA.

Properties
Crystal system: cubic
E_form, eV per atom: -0.25

Unit cell a=6.0949 b=6.0949 c=6.0949 alpha=60.00 beta=60.00 gamma=60.00
Element x y z (fractional)
Th  0.1250  0.1250  0.1250
Th  0.8750  0.8750  0.8750
In  0.0000  0.5000  0.5000
In  0.5000  0.0000  0.5000
In  0.5000  0.5000  0.0000
In  0.5000  0.5000  0.5000


9.
Rb2LaBe2S4: optimized geometry, PBE-GGA.

Properties
Crystal system: monoclinic
Formation energy from raw total energies, eV per formula unit: -10.93

Unit cell a=7.8916 b=7.8916 c=8.4439 alpha=113.88 beta=113.88 gamma=27.61
Element x y z (fractional)
Rb  0.1282  0.1282  0.0568
Rb  0.8718  0.8718  0.9432
La  0.0000  0.0000  0.5000
Be  0.3267  0.3267  0.5352
Be  0.6733  0.6733  0.4648
S  0.2105  0.2105  0.6239
S  0.4638  0.4638  0.7333
S  0.5362  0.5362  0.2667
S  0.7895  0.7895  0.3761


10.
ZrRe2Cl: optimized geometry, PBE-GGA.

Properties
Polymorph energy (0 for the lowest one), meV per atom: 843
Crystal system: cubic
Formation energy from raw total energies, eV per formula unit: 2.87

Unit cell a=4.5839 b=4.5839 c=4.5839 alpha=60.00 beta=60.00 gamma=60.00
Element x y z (fractional)
Zr  0.0000  0.0000  0.0000
Re  0.5000  0.5000  0.5000
Re  0.7500  0.7500  0.7500
Cl  0.2500  0.2500  0.2500


11.
Ce3Nd4Se8: optimized geometry, PBE-GGA.

Properties
Crystal system: monoclinic
Formation energy from raw total energies, eV per formula unit: -27.91

Unit cell a=8.4214 b=8.4214 c=8.4106 alpha=119.95 beta=119.95 gamma=90.03
Element x y z (fractional)
Ce  0.0000  0.0000  0.0000
Ce  0.0000  0.5000  0.5000
Ce  0.5000  0.0000  0.5000
Nd  0.0000  0.5000  0.0000
Nd  0.5000  0.0000  0.0000
Nd  0.5000  0.5000  0.0000
Nd  0.5000  0.5000  0.5000
Se  0.2462  0.2462  0.9943
Se  0.2473  0.2473  0.4990
Se  0.2478  0.7522  0.5000
Se  0.2494  0.7506  0.0000
Se  0.7506  0.2494  0.0000
Se  0.7522  0.2478  0.5000
Se  0.7527  0.7527  0.5010
Se  0.7538  0.7538  0.0057


12.
LaBi3Au: optimized geometry, PBE-GGA.

Properties
Polymorph energy (0 for the lowest one), meV per atom: 0
Crystal system: cubic
E_form, eV per atom: -0.05

Unit cell a=5.5625 b=5.5625 c=5.5625 alpha=90.00 beta=90.00 gamma=90.00
Element x y z (fractional)
La  0.0000  0.0000  0.0000
Bi  0.0000  0.5000  0.5000
Bi  0.5000  0.0000  0.5000
Bi  0.5000  0.5000  0.0000
Au  0.5000  0.5000  0.5000


13.
Ir7Pt: optimized geometry, PBE-GGA.

Properties
Crystal system: cubic
E_form, eV per atom: 0.05

Unit cell a=5.4956 b=5.4956 c=5.4956 alpha=60.00 beta=60.00 gamma=60.00
Element x y z (fractional)
Ir  0.0000  0.0000  0.0000
Ir  0.0000  0.0000  0.5000
Ir  0.0000  0.5000  0.0000
Ir  0.0000  0.5000  0.5000
Ir  0.5000  0.0000  0.0000
Ir  0.5000  0.0000  0.5000
Ir  0.5000  0.5000  0.0000
Pt  0.5000  0.5000  0.5000


14.
Sb4Te5Br: optimized geometry, PBE-GGA.

Properties
Crystal system: orthorhombic
Formation energy from raw total energies, eV per formula unit: -0.30

Unit cell a=9.0518 b=9.8642 c=7.8672 alpha=90.00 beta=90.00 gamma=90.00
Element x y z (fractional)
Sb  0.0648  0.2500  0.0199
Sb  0.2500  0.5226  0.6043
Sb  0.2500  0.9774  0.6043
Sb  0.4352  0.2500  0.0199
Sb  0.5648  0.7500  0.9801
Sb  0.7500  0.0226  0.3957
Sb  0.7500  0.4774  0.3957
Sb  0.9352  0.7500  0.9801
Te  0.0322  0.5477  0.2362
Te  0.0322  0.9523  0.2362
Te  0.2500  0.7500  0.8599
Te  0.4678  0.5477  0.2362
Te  0.4678  0.9523  0.2362
Te  0.5322  0.0477  0.7638
Te  0.5322  0.4523  0.7638
Te  0.7500  0.2500  0.1401
Te  0.9678  0.0477  0.7638
Te  0.9678  0.4523  0.7638
Br  0.2500  0.2500  0.4385
Br  0.7500  0.7500  0.5615


15.
HoTmS2: optimized geometry, PBE-GGA.

Properties
Polymorph energy (0 for the lowest one), meV per atom: 0
Crystal system: monoclinic
Formation energy from raw total energies, eV per formula unit: -7.81

Unit cell a=3.8624 b=3.8624 c=6.6826 alpha=106.92 beta=106.92 gamma=60.20
Element x y z (fractional)
Ho  0.0000  0.0000  0.0000
Tm  0.5000  0.5000  0.5000
S  0.2486  0.2486  0.7458
S  0.7514  0.7514  0.2542


16.
ScInFe2: optimized geometry, PBE-GGA.

Properties
Crystal system: tetragonal
E_form, eV per atom: 0.04

Unit cell a=4.9775 b=4.9775 c=4.9775 alpha=132.89 beta=132.89 gamma=68.83
Element x y z (fractional)
Sc  0.0000  0.0000  0.0000
In  0.7500  0.2500  0.5000
Fe  0.2500  0.7500  0.5000
Fe  0.5000  0.5000  0.0000


17.
Dy6GeTe3Pt2: optimized geometry, PBE-GGA.

Properties
Crystal system: monoclinic
Formation energy from raw total energies, eV per formula unit: -14.53

Unit cell a=7.2243 b=7.2243 c=7.6659 alpha=99.13 beta=99.13 gamma=120.15
Element x y z (fractional)
Dy  0.0895  0.4284  0.7825
Dy  0.2332  0.2332  0.2163
Dy  0.4284  0.0895  0.7825
Dy  0.5716  0.9105  0.2175
Dy  0.7668  0.7668  0.7837
Dy  0.9105  0.5716  0.2175
Ge  0.5000  0.5000  0.0000
Te  0.0000  0.0000  0.5000
Te  0.3361  0.6639  0.5000
Te  0.6639  0.3361  0.5000
Pt  0.1671  0.8329  0.0000
Pt  0.8329  0.1671  0.0000


18.
TaCrGa3: optimized geometry, PBE-GGA.

Properties
Polymorph energy (0 for the lowest one), meV per atom: 421
Crystal system: cubic
E_form, eV per atom: 1.31

Unit cell a=4.9297 b=4.9297 c=4.9297 alpha=90.00 beta=90.00 gamma=90.00
Element x y z (fractional)
Ta  0.0000  0.0000  0.0000
Cr  0.5000  0.5000  0.5000
Ga  0.0000  0.0000  0.5000
Ga  0.0000  0.5000  0.0000
Ga  0.5000  0.0000  0.0000


19.
Sc2V2Pb: optimized geometry, PBE-GGA.

Properties
Polymorph energy (0 for the lowest one), meV per atom: 477
Crystal system: tetragonal
E_form, eV per atom: 0.58

Unit cell a=6.5314 b=6.5314 c=6.5314 alpha=141.34 beta=141.34 gamma=55.82
Element x y z (fractional)
Sc  0.2500  0.7500  0.5000
Sc  0.7500  0.2500  0.5000
V  0.0800  0.0800  0.0000
V  0.9200  0.9200  0.0000
Pb  0.5000  0.5000  0.0000


20.
Mg5Sn6: optimized geometry, PBE-GGA.

Properties
Polymorph energy (0 for the lowest one), meV per atom: 28
Crystal system: monoclinic
E_form, eV per atom: -0.05

Unit cell a=7.1073 b=7.1073 c=6.1328 alpha=99.07 beta=99.07 gamma=110.81
Element x y z (fractional)
Mg  0.0000  0.0000  0.0000
Mg  0.1450  0.8550  0.5000
Mg  0.2712  0.7288  0.0000
Mg  0.7288  0.2712  0.0000
Mg  0.8550  0.1450  0.5000
Sn  0.1745  0.4360  0.3065
Sn  0.3121  0.3121  0.7830
Sn  0.4360  0.1745  0.3065
Sn  0.5640  0.8255  0.6935
Sn  0.6879  0.6879  0.2170
Sn  0.8255  0.5640  0.6935


21.
NbCrGe2Pb: optimized geometry, PBE-GGA.

Properties
Crystal system: tetragonal
E_form, eV per atom: 1.82

Unit cell a=5.3122 b=5.3122 c=5.3598 alpha=90.00 beta=90.00 gamma=90.00
Element x y z (fractional)
Nb  0.0000  0.0000  0.0000
Cr  0.5000  0.5000  0.0000
Ge  0.0000  0.5000  0.5000
Ge  0.5000  0.0000  0.5000
Pb  0.0000  0.0000  0.5000


22.
AlTl2Pd6: optimized geometry, PBE-GGA.

Properties
Crystal system: monoclinic
E_form, eV per atom: -0.27

Unit cell a=8.0597 b=8.0597 c=3.0636 alpha=100.88 beta=100.88 gamma=56.25
Element x y z (fractional)
Al  0.0000  0.0000  0.0000
Tl  0.3420  0.3420  0.3434
Tl  0.6580  0.6580  0.6566
Pd  0.0189  0.6510  0.8364
Pd  0.2626  0.7374  0.5000
Pd  0.3490  0.9811  0.1636
Pd  0.6510  0.0189  0.8364
Pd  0.7374  0.2626  0.5000
Pd  0.9811  0.3490  0.1636


23.
Tc2MoW: optimized geometry, PBE-GGA.

Properties
Polymorph energy (0 for the lowest one), meV per atom: 28
Crystal system: orthorhombic
E_form, eV per atom: 0.10

Unit cell a=5.1875 b=5.1875 c=5.1875 alpha=145.01 beta=128.93 gamma=63.41
Element x y z (fractional)
Tc  0.2408  0.2408  0.0000
Tc  0.7592  0.7592  0.0000
Mo  0.5000  0.0000  0.5000
W  0.0000  0.5000  0.5000


24.
Nd6PuTe8: optimized geometry, PBE-GGA.

Properties
Crystal system: cubic
Formation energy from raw total energies, eV per formula unit: -21.05

Unit cell a=8.9682 b=8.9682 c=8.9682 alpha=60.00 beta=60.00 gamma=60.00
Element x y z (fractional)
Nd  0.0000  0.0000  0.5000
Nd  0.0000  0.5000  0.0000
Nd  0.0000  0.5000  0.5000
Nd  0.5000  0.0000  0.0000
Nd  0.5000  0.0000  0.5000
Nd  0.5000  0.5000  0.0000
Pu  0.0000  0.0000  0.0000
Te  0.2500  0.2500  0.2500
Te  0.2528  0.2528  0.7472
Te  0.2528  0.7472  0.2528
Te  0.2528  0.7472  0.7472
Te  0.7472  0.2528  0.2528
Te  0.7472  0.2528  0.7472
Te  0.7472  0.7472  0.2528
Te  0.7500  0.7500  0.7500